Entry 1:
# RuPtI6Br

Crystalline RuPtI6Br at its relaxed geometry (PBE, the Alexandria database).

Properties
**Total magnetic moment**: 1.01 μB per cell
**Uncorrected energy**: -3.00 eV/atom
**E_form (uncorrected)**: -0.7 eV per formula unit

Cell and atoms, written as POSCAR:
```
RuPtI6Br
1.0
6.962 0.000 0.000
-3.481 6.029 0.000
0.000 0.000 8.151
Ru Pt I Br
1 1 6 1
Direct
0.000 0.000 0.000
0.333 0.667 0.000
0.023 0.331 0.187
0.023 0.692 0.813
0.308 0.331 0.813
0.308 0.977 0.187
0.669 0.692 0.187
0.669 0.977 0.813
0.667 0.333 0.500
```

=====

Entry 2:
# DyHoCd

Crystalline DyHoCd at its relaxed geometry (PBE, the Alexandria database).

Properties
**Formation energy from the elements**: -0.1917 eV/atom
**Polymorph energy (0 for the lowest one)**: 0 meV per atom
**Total magnetic moment**: 0.86 μB per cell
**Uncorrected energy**: -3.56 eV/atom

Cell and atoms, written as POSCAR:
```
DyHoCd
1.0
-1.796 1.796 6.510
1.796 -1.796 6.510
1.796 1.796 -6.510
Dy Ho Cd
1 1 1
Direct
0.000 0.000 0.000
0.313 0.313 0.000
0.658 0.658 0.000
```

=====

Entry 3:
# TmThPa2

Crystalline TmThPa2 at its relaxed geometry (PBE, the Alexandria database).

Properties
**Formation energy from the elements**: 0.1760 eV/atom
**Polymorph energy (0 for the lowest one)**: 0 meV per atom
**Total magnetic moment**: 0.00 μB per cell
**Uncorrected energy**: -7.54 eV/atom

Cell and atoms, written as POSCAR:
```
TmThPa2
1.0
3.345 0.000 0.000
0.000 3.345 0.000
0.000 0.000 9.911
Tm Th Pa
1 1 2
Direct
0.000 0.000 0.000
0.000 0.000 0.500
0.500 0.500 0.251
0.500 0.500 0.749
```

=====

Entry 4:
# RbSN3

Crystalline RbSN3 at its relaxed geometry (PBE, the Alexandria database).

Properties
**Total magnetic moment**: 7.97 μB per cell
**Uncorrected energy**: -2.74 eV/atom
**E_form (uncorrected)**: 16.4 eV per formula unit

Cell and atoms, written as POSCAR:
```
RbSN3
1.0
5.168 0.000 0.000
0.000 5.168 0.000
0.000 0.000 5.168
Rb S N
1 1 3
Direct
0.000 0.000 0.000
0.500 0.500 0.500
0.000 0.000 0.500
0.000 0.500 0.000
0.500 0.000 0.000
```